VASP calculation (GGA-PBE) on an optimized crystal structure of Zr3Cu3Rh2.

Cell lengths 6.9373, 6.9373, 3.3351 Å; angles 90.00, 90.00, 120.00 degrees
Closest atoms and distances in Å follow each position.
Sites, in units of the cell vectors:
Zr: 0.0000 0.3927 0.0000  4 Rh 2.71, 4 Cu 2.89
Zr: 0.3927 0.0000 0.0000  4 Rh 2.71, 4 Cu 2.89
Zr: 0.6073 0.6073 0.0000  4 Rh 2.71, 4 Cu 2.89
Cu: 0.0000 0.7795 0.5000  2 Cu 2.65, 2 Rh 2.79, 4 Zr 2.89
Cu: 0.2205 0.2205 0.5000  2 Cu 2.65, 2 Rh 2.79, 4 Zr 2.89
Cu: 0.7795 0.0000 0.5000  2 Cu 2.65, 2 Rh 2.79, 4 Zr 2.89
Rh: 0.3333 0.6667 0.5000  6 Zr 2.71, 3 Cu 2.79
Rh: 0.6667 0.3333 0.5000  6 Zr 2.71, 3 Cu 2.79

Calculated formation energy: -368 meV per atom
E_tot: -6.947 eV per atom
DOS(E_F): 7.08 states/eV per cell

VASP calculation (GGA-PBE) on an optimized crystal structure of Zr2Cu4Rh3.

Cell lengths 4.9274, 4.9274, 8.2973 Å; angles 110.39, 110.39, 46.01 degrees
Closest atoms and distances in Å follow each position.
Sites, in units of the cell vectors:
Zr: 0.1676 0.1676 0.2294  5 Rh 2.68-2.76, 7 Cu 2.77-2.84
Zr: 0.8324 0.8324 0.7706  5 Rh 2.68-2.76, 7 Cu 2.77-2.84
Cu: 0.1688 0.1688 0.8934  4 Cu 2.65-2.71, 4 Rh 2.75-2.80, 4 Zr 2.79-2.84
Cu: 0.4957 0.4957 0.3333  6 Rh 2.70-2.92, 3 Cu 2.71-2.74, 3 Zr 2.77-2.81
Cu: 0.5043 0.5043 0.6667  6 Rh 2.70-2.92, 3 Cu 2.71-2.74, 3 Zr 2.77-2.81
Cu: 0.8312 0.8312 0.1066  4 Cu 2.65-2.71, 4 Rh 2.75-2.80, 4 Zr 2.79-2.84
Rh: 0.1587 0.1587 0.5583  3 Rh 2.67-2.93, 3 Zr 2.68-2.76, 6 Cu 2.70-2.92
Rh: 0.5000 0.5000 0.0000  4 Zr 2.73, 8 Cu 2.78-2.80
Rh: 0.8413 0.8413 0.4417  3 Rh 2.67-2.93, 3 Zr 2.68-2.76, 6 Cu 2.70-2.92

Calculated formation energy: -375 meV per atom
E_tot: -6.546 eV per atom
DOS(E_F): 6.55 states/eV per cell

VASP calculation (GGA-PBE) on an optimized crystal structure of Zr4Cu4Rh3.

Cell lengths 3.2934, 3.4883, 15.9353 Å; angles 96.28, 95.90, 90.00 degrees
Closest atoms and distances in Å follow each position.
Sites, in units of the cell vectors:
Zr: 0.0516 0.0502 0.0997  5 Rh 2.77-2.87, 4 Cu 2.77-2.78
Zr: 0.3175 0.3179 0.6356  6 Cu 2.75-2.84, 4 Rh 2.78
Zr: 0.6825 0.6821 0.3644  6 Cu 2.75-2.84, 4 Rh 2.78
Zr: 0.9484 0.9498 0.9003  5 Rh 2.77-2.87, 4 Cu 2.77-2.78
Cu: 0.2302 0.2305 0.4613  4 Cu 2.69, 5 Zr 2.75-2.84, 1 Rh 2.92
Cu: 0.4041 0.4058 0.8117  5 Rh 2.76-2.97, 5 Zr 2.77-2.78
Cu: 0.5959 0.5942 0.1883  5 Rh 2.76-2.97, 5 Zr 2.77-2.78
Cu: 0.7698 0.7695 0.5387  4 Cu 2.69, 5 Zr 2.75-2.84, 1 Rh 2.92
Rh: 0.1387 0.1376 0.2758  5 Cu 2.76-2.92, 5 Zr 2.77-2.78
Rh: 0.5000 0.5000 0.0000  8 Zr 2.86-2.87, 2 Cu 2.97
Rh: 0.8613 0.8624 0.7242  5 Cu 2.76-2.92, 5 Zr 2.77-2.78

Calculated formation energy: -436 meV per atom
E_tot: -7.039 eV per atom
DOS(E_F): 7.52 states/eV per cell

VASP calculation (GGA-PBE) on an optimized crystal structure of Zr5CuRh4.

Cell lengths 3.3265, 3.3265, 16.2205 Å; angles 90.00, 90.00, 90.00 degrees
Closest atoms and distances in Å follow each position.
Sites, in units of the cell vectors:
Zr: 0.0000 0.0000 0.0000  8 Rh 2.85
Zr: 0.0000 0.0000 0.2012  8 Rh 2.84-2.88
Zr: 0.0000 0.0000 0.4009  4 Cu 2.85, 4 Rh 2.87
Zr: 0.0000 0.0000 0.5991  4 Cu 2.85, 4 Rh 2.87
Zr: 0.0000 0.0000 0.7988  8 Rh 2.84-2.88
Cu: 0.5000 0.5000 0.5000  8 Zr 2.85
Rh: 0.5000 0.5000 0.0992  8 Zr 2.85-2.88
Rh: 0.5000 0.5000 0.2998  8 Zr 2.84-2.87
Rh: 0.5000 0.5000 0.7002  8 Zr 2.84-2.87
Rh: 0.5000 0.5000 0.9008  8 Zr 2.85-2.88

Calculated formation energy: -640 meV per atom
E_tot: -8.264 eV per atom
DOS(E_F): 6.76 states/eV per cell

VASP calculation (GGA-PBE) on an optimized crystal structure of Zr6CuRh5.

Cell lengths 8.0953, 8.0953, 8.0953 Å; angles 146.57, 131.75, 59.97 degrees
Closest atoms and distances in Å follow each position.
Sites, in units of the cell vectors:
Zr: 0.0835 0.3341 0.7494  7 Rh 2.83-2.90, 1 Cu 2.86
Zr: 0.2492 0.0000 0.2492  6 Rh 2.84-2.91, 2 Cu 2.86
Zr: 0.4152 0.6659 0.7494  7 Rh 2.83-2.90, 1 Cu 2.86
Zr: 0.5848 0.3341 0.2506  7 Rh 2.83-2.90, 1 Cu 2.86
Zr: 0.7508 0.0000 0.7508  6 Rh 2.84-2.91, 2 Cu 2.86
Zr: 0.9165 0.6659 0.2506  7 Rh 2.83-2.90, 1 Cu 2.86
Cu: 0.5000 0.5000 0.0000  8 Zr 2.86
Rh: 0.0000 0.5000 0.5000  8 Zr 2.85
Rh: 0.1707 0.1707 0.0000  8 Zr 2.83-2.91
Rh: 0.3358 0.8358 0.5000  8 Zr 2.84-2.90
Rh: 0.6642 0.1642 0.5000  8 Zr 2.84-2.90
Rh: 0.8293 0.8293 0.0000  8 Zr 2.83-2.91

Calculated formation energy: -651 meV per atom
E_tot: -8.330 eV per atom
DOS(E_F): 11.71 states/eV per cell

VASP calculation (GGA-PBE) on an optimized crystal structure of ZrCuRh.

Cell lengths 6.2377, 6.2377, 6.2377 Å; angles 146.65, 129.94, 61.49 degrees
Closest atoms and distances in Å follow each position.
Sites, in units of the cell vectors:
Zr: 0.1886 0.1886 0.0000  4 Rh 2.67-2.72, 4 Cu 2.98
Zr: 0.8114 0.8114 0.0000  4 Rh 2.67-2.72, 4 Cu 2.98
Cu: 0.2387 0.5000 0.7387  2 Cu 2.52-2.76, 4 Rh 2.64
Cu: 0.7613 0.5000 0.2613  2 Cu 2.52-2.76, 4 Rh 2.64
Rh: 0.3730 0.8730 0.5000  4 Cu 2.64, 4 Zr 2.67-2.72, 1 Rh 2.72
Rh: 0.6270 0.1270 0.5000  4 Cu 2.64, 4 Zr 2.67-2.72, 1 Rh 2.72

Calculated formation energy: -422 meV per atom
E_tot: -7.087 eV per atom
Energy above the lowest structure with this stoichiometry: 0.1205 eV/atom
DOS(E_F): 2.68 states/eV per cell

VASP calculation (GGA-PBE) on an optimized crystal structure of ZrCu2Rh2.

Cell lengths 7.1627, 7.1627, 7.1627 Å; angles 152.41, 152.41, 39.42 degrees
Closest atoms and distances in Å follow each position.
Sites, in units of the cell vectors:
Zr: 0.0000 0.0000 0.0000  8 Rh 2.79
Cu: 0.2500 0.7500 0.5000  4 Cu 2.42, 4 Rh 2.61
Cu: 0.7500 0.2500 0.5000  4 Cu 2.42, 4 Rh 2.61
Rh: 0.3963 0.3963 0.0000  4 Cu 2.61, 4 Zr 2.79, 1 Rh 2.80
Rh: 0.6037 0.6037 0.0000  4 Cu 2.61, 4 Zr 2.79, 1 Rh 2.80

Calculated formation energy: -236 meV per atom
E_tot: -6.524 eV per atom
Energy above the lowest structure with this stoichiometry: 0.0000 eV/atom
DOS(E_F): 1.69 states/eV per cell

VASP calculation (GGA-PBE) on an optimized crystal structure of ZrCu2Rh.

Cell lengths 4.9429, 4.9429, 4.9429 Å; angles 134.88, 134.88, 65.72 degrees
Closest atoms and distances in Å follow each position.
Sites, in units of the cell vectors:
Zr: 0.0000 0.0000 0.0000  4 Rh 2.68, 8 Cu 2.81
Cu: 0.2500 0.7500 0.5000  4 Cu 2.68, 4 Rh 2.81, 4 Zr 2.81
Cu: 0.7500 0.2500 0.5000  4 Cu 2.68, 4 Rh 2.81, 4 Zr 2.81
Rh: 0.5000 0.5000 0.0000  4 Zr 2.68, 8 Cu 2.81

Calculated formation energy: -415 meV per atom
E_tot: -6.438 eV per atom
DOS(E_F): 1.45 states/eV per cell

VASP calculation (GGA-PBE) on an optimized crystal structure of ZrCu2Rh.

Cell lengths 4.4276, 4.4276, 4.4276 Å; angles 60.00, 60.00, 60.00 degrees
Closest atoms and distances in Å follow each position.
Sites, in units of the cell vectors:
Zr: 0.0000 0.0000 0.0000  4 Cu 2.71, 4 Rh 2.71
Cu: 0.2500 0.2500 0.2500  4 Zr 2.71, 4 Cu 2.71
Cu: 0.5000 0.5000 0.5000  4 Rh 2.71, 4 Cu 2.71
Rh: 0.7500 0.7500 0.7500  4 Zr 2.71, 4 Cu 2.71

Calculated formation energy: -261 meV per atom
E_tot: -6.284 eV per atom
DOS(E_F): 3.25 states/eV per cell

VASP calculation (GGA-PBE) on an optimized crystal structure of Zr3CuRh2.

Cell lengths 7.3624, 7.3624, 3.3253 Å; angles 90.00, 90.00, 143.40 degrees
Closest atoms and distances in Å follow each position.
Sites, in units of the cell vectors:
Zr: 0.0000 0.0000 0.0000  4 Cu 2.85, 4 Rh 2.87
Zr: 0.3347 0.6653 0.0000  2 Cu 2.85, 6 Rh 2.85-2.87
Zr: 0.6653 0.3347 0.0000  2 Cu 2.85, 6 Rh 2.85-2.87
Cu: 0.5000 0.5000 0.5000  8 Zr 2.85
Rh: 0.1674 0.8326 0.5000  8 Zr 2.85-2.87
Rh: 0.8326 0.1674 0.5000  8 Zr 2.85-2.87

Calculated formation energy: -560 meV per atom
E_tot: -7.967 eV per atom
Energy above the lowest structure with this stoichiometry: 0.0000 eV/atom
DOS(E_F): 4.09 states/eV per cell

VASP calculation (GGA-PBE) on an optimized crystal structure of ZrCuRh.

Cell lengths 4.8653, 4.8653, 4.8653 Å; angles 141.19, 137.00, 59.29 degrees
Closest atoms and distances in Å follow each position.
Sites, in units of the cell vectors:
Zr: 0.0000 0.0000 0.0000  5 Cu 2.77-2.81, 5 Rh 2.77-2.86
Cu: 0.6727 0.6727 0.0000  5 Zr 2.77-2.81, 5 Rh 2.78-2.83
Rh: 0.3378 0.3378 0.0000  5 Zr 2.77-2.86, 5 Cu 2.78-2.83

Calculated formation energy: -493 meV per atom
E_tot: -7.158 eV per atom
Energy above the lowest structure with this stoichiometry: 0.0498 eV/atom
DOS(E_F): 1.38 states/eV per cell

VASP calculation (GGA-PBE) on an optimized crystal structure of ZrCuRh.

Cell lengths 2.9226, 2.9226, 6.6719 Å; angles 90.00, 90.00, 120.00 degrees
Closest atoms and distances in Å follow each position.
Sites, in units of the cell vectors:
Zr: 0.0000 0.0000 0.0000  3 Rh 2.83, 3 Cu 2.86, 6 Zr 2.92
Cu: 0.6667 0.3333 0.3470  3 Rh 2.69, 3 Zr 2.86, 6 Cu 2.92
Rh: 0.3333 0.6667 0.6602  3 Cu 2.69, 3 Zr 2.83, 6 Rh 2.92

Calculated formation energy: -14 meV per atom
E_tot: -6.679 eV per atom
Energy above the lowest structure with this stoichiometry: 0.5289 eV/atom
DOS(E_F): 3.02 states/eV per cell